Record 1
Pm8ZnRu2 | PBE-GGA | relaxed

Lattice parameters (Å, degrees): 9.3046 9.3046 7.0216 105.86 105.86 31.85
Closest atoms and distances in Å follow each position.
Sites, in units of the cell vectors:
Pm 0.0381 0.0381 0.2778  1 Ru 2.90, 2 Zn 3.17
Pm 0.2001 0.2001 0.8196  1 Ru 2.79
Pm 0.3272 0.3272 0.5294  1 Ru 2.81
Pm 0.4052 0.4052 0.0366  1 Zn 3.21, 2 Ru 3.28, 7 Pm 3.44-3.57
Pm 0.5948 0.5948 0.9634  1 Zn 3.21, 2 Ru 3.28, 7 Pm 3.44-3.57
Pm 0.6728 0.6728 0.4706  1 Ru 2.81
Pm 0.7999 0.7999 0.1804  1 Ru 2.79
Pm 0.9619 0.9619 0.7222  1 Ru 2.90, 2 Zn 3.17
Zn 0.5000 0.5000 0.5000  8 Pm 3.16-3.21
Ru 0.1907 0.1907 0.2101  3 Pm 2.79-2.90
Ru 0.8093 0.8093 0.7899  3 Pm 2.79-2.90

Results
ΔE_f (eV per atom): -0.156
ΔE to the lowest computed polymorph (meV/atom): 0
N(E_F) (states/eV/atom): 0.978
Calculated volume (Å³/atom): 27.960



Record 2
Pm2Zn6Ru | PBE-GGA | relaxed

Lattice parameters (Å, degrees): 5.7760 5.7760 5.8177 90.00 90.00 120.00
Closest atoms and distances in Å follow each position.
Sites, in units of the cell vectors:
Pm 0.3333 0.6667 0.3481  12 Zn 3.07-3.40
Pm 0.6667 0.3333 0.6519  12 Zn 3.07-3.40
Zn 0.1749 0.3498 0.8301  1 Ru 2.60, 4 Zn 2.64-2.75
Zn 0.1749 0.8251 0.8301  1 Ru 2.60, 4 Zn 2.64-2.75
Zn 0.3498 0.1749 0.1699  1 Ru 2.60, 4 Zn 2.64-2.75
Zn 0.6502 0.8251 0.8301  1 Ru 2.60, 4 Zn 2.64-2.75
Zn 0.8251 0.1749 0.1699  1 Ru 2.60, 4 Zn 2.64-2.75
Zn 0.8251 0.6502 0.1699  1 Ru 2.60, 4 Zn 2.64-2.75
Ru 0.0000 0.0000 0.5000  6 Zn 2.60

Results
ΔE_f (eV per atom): -0.290
N(E_F) (states/eV/atom): 0.655
Calculated volume (Å³/atom): 18.680



Record 3
Pm3Zn4Ru2 | PBE-GGA | relaxed

Lattice parameters (Å, degrees): 5.5263 5.5263 8.5143 107.08 107.08 49.68
Closest atoms and distances in Å follow each position.
Sites, in units of the cell vectors:
Pm 0.0000 0.0000 0.0000  8 Zn 3.10-3.27
Pm 0.3575 0.3575 0.3136  4 Ru 2.99-3.08, 8 Zn 3.06-3.25
Pm 0.6425 0.6425 0.6864  4 Ru 2.99-3.08, 8 Zn 3.06-3.25
Zn 0.0868 0.0868 0.4050  3 Ru 2.56-2.69, 1 Zn 2.73
Zn 0.2845 0.2845 0.9294  1 Ru 2.54, 2 Zn 2.80
Zn 0.7155 0.7155 0.0706  1 Ru 2.54, 2 Zn 2.80
Zn 0.9132 0.9132 0.5950  3 Ru 2.56-2.69, 1 Zn 2.73
Ru 0.3338 0.3338 0.6548  4 Zn 2.54-2.69
Ru 0.6662 0.6662 0.3452  4 Zn 2.54-2.69

Results
ΔE_f (eV per atom): -0.258
N(E_F) (states/eV/atom): 0.521
Calculated volume (Å³/atom): 20.841



Record 4
Pm2Zn3Ru | PBE-GGA | relaxed

Lattice parameters (Å, degrees): 5.5880 5.5880 7.2127 125.88 125.88 45.55
Closest atoms and distances in Å follow each position.
Sites, in units of the cell vectors:
Pm 0.0000 0.0000 0.0000  9 Zn 3.03-3.33, 2 Ru 3.04
Pm 0.1069 0.1069 0.6118  3 Ru 3.02-3.04, 7 Zn 3.09-3.28
Zn 0.3871 0.3871 0.2252  3 Zn 2.55-2.85, 1 Ru 2.83
Zn 0.7212 0.7212 0.0327  3 Zn 2.55-2.76, 1 Ru 2.59
Zn 0.7300 0.7300 0.4227  2 Ru 2.63, 2 Zn 2.76-2.85
Ru 0.4122 0.4122 0.6399  4 Zn 2.59-2.83

Results
ΔE_f (eV per atom): -0.313
ΔE to the lowest computed polymorph (meV/atom): 0
N(E_F) (states/eV/atom): 0.714
Calculated volume (Å³/atom): 20.684



Record 5
PmZnRu | PBE-GGA | relaxed

Lattice parameters (Å, degrees): 4.5611 4.5611 4.5611 60.00 60.00 60.00
Closest atoms and distances in Å follow each position.
Sites, in units of the cell vectors:
Pm 0.0000 0.0000 0.0000  4 Ru 2.79
Zn 0.5000 0.5000 0.5000  4 Ru 2.79
Ru 0.7500 0.7500 0.7500  4 Pm 2.79, 4 Zn 2.79

Results
ΔE_f (eV per atom): 0.057
ΔE to the lowest computed polymorph (meV/atom): 317
N(E_F) (states/eV/atom): 1.083
Calculated volume (Å³/atom): 22.365



Record 6
Pm12ZnRu6 | PBE-GGA | relaxed

Lattice parameters (Å, degrees): 8.3565 8.3565 8.3565 100.98 100.98 100.98
Closest atoms and distances in Å follow each position.
Sites, in units of the cell vectors:
Pm 0.0711 0.9184 0.6680  2 Ru 2.72-2.77, 1 Zn 2.93
Pm 0.0816 0.3320 0.9289  2 Ru 2.72-2.77, 1 Zn 2.93
Pm 0.1788 0.5580 0.4139  3 Ru 2.78-3.07
Pm 0.3320 0.9289 0.0816  2 Ru 2.72-2.77, 1 Zn 2.93
Pm 0.4139 0.1788 0.5580  3 Ru 2.78-3.07
Pm 0.4420 0.5861 0.8212  3 Ru 2.78-3.07
Pm 0.5580 0.4139 0.1788  3 Ru 2.78-3.07
Pm 0.5861 0.8212 0.4420  3 Ru 2.78-3.07
Pm 0.6680 0.0711 0.9184  2 Ru 2.72-2.77, 1 Zn 2.93
Pm 0.8212 0.4420 0.5861  3 Ru 2.78-3.07
Pm 0.9184 0.6680 0.0711  2 Ru 2.72-2.77, 1 Zn 2.93
Pm 0.9289 0.0816 0.3320  2 Ru 2.72-2.77, 1 Zn 2.93
Zn 0.0000 0.0000 0.0000  6 Pm 2.93
Ru 0.1368 0.3014 0.6089  4 Pm 2.72-2.94
Ru 0.3014 0.6089 0.1368  4 Pm 2.72-2.94
Ru 0.3911 0.8632 0.6986  4 Pm 2.72-2.94
Ru 0.6089 0.1368 0.3014  4 Pm 2.72-2.94
Ru 0.6986 0.3911 0.8632  4 Pm 2.72-2.94
Ru 0.8632 0.6986 0.3911  4 Pm 2.72-2.94

Results
ΔE_f (eV per atom): -0.082
ΔE to the lowest computed polymorph (meV/atom): 92
N(E_F) (states/eV/atom): 0.643
Calculated volume (Å³/atom): 28.767



Record 7
PmZn2Ru | PBE-GGA | relaxed

Lattice parameters (Å, degrees): 3.3835 3.3835 6.3775 90.00 90.00 90.00
Closest atoms and distances in Å follow each position.
Sites, in units of the cell vectors:
Pm 0.0000 0.0000 0.0000  8 Zn 3.09, 2 Ru 3.19, 4 Pm 3.38
Zn 0.5000 0.5000 0.3075  1 Zn 2.45, 4 Ru 2.69
Zn 0.5000 0.5000 0.6925  1 Zn 2.45, 4 Ru 2.69
Ru 0.0000 0.0000 0.5000  8 Zn 2.69

Results
ΔE_f (eV per atom): -0.116
ΔE to the lowest computed polymorph (meV/atom): 148
N(E_F) (states/eV/atom): 0.680
Calculated volume (Å³/atom): 18.252



Record 8
PmZnRu | PBE-GGA | relaxed

Lattice parameters (Å, degrees): 6.6929 6.6929 7.1886 90.00 90.00 128.37
Closest atoms and distances in Å follow each position.
Sites, in units of the cell vectors:
Pm 0.1863 0.8137 0.9097  2 Ru 2.73-2.82
Pm 0.3137 0.6863 0.4097  2 Ru 2.73-2.82
Pm 0.6863 0.3137 0.5903  2 Ru 2.73-2.82
Pm 0.8137 0.1863 0.0903  2 Ru 2.73-2.82
Zn 0.2012 0.2988 0.7500  4 Ru 2.64-2.76, 2 Zn 2.91
Zn 0.2988 0.2012 0.2500  4 Ru 2.64-2.76, 2 Zn 2.91
Zn 0.7012 0.7988 0.7500  4 Ru 2.64-2.76, 2 Zn 2.91
Zn 0.7988 0.7012 0.2500  4 Ru 2.64-2.76, 2 Zn 2.91
Ru 0.1021 0.8979 0.5436  1 Ru 2.54, 4 Zn 2.64-2.76, 2 Pm 2.73-2.82
Ru 0.3979 0.6021 0.0436  1 Ru 2.54, 4 Zn 2.64-2.76, 2 Pm 2.73-2.82
Ru 0.6021 0.3979 0.9564  1 Ru 2.54, 4 Zn 2.64-2.76, 2 Pm 2.73-2.82
Ru 0.8979 0.1021 0.4564  1 Ru 2.54, 4 Zn 2.64-2.76, 2 Pm 2.73-2.82

Results
ΔE_f (eV per atom): -0.134
ΔE to the lowest computed polymorph (meV/atom): 127
N(E_F) (states/eV/atom): 0.796
Calculated volume (Å³/atom): 21.040



Number 1: uncorrected energy -5.413 eV per atom, total magnetization 0.0 μB per formula unit. Number 2: uncorrected energy -3.226 eV per atom, total magnetization 0.0 μB per formula unit. Number 3: uncorrected energy -4.469 eV per atom, total magnetization 0.0 μB per formula unit. Number 4: uncorrected energy -4.079 eV per atom, total magnetization 0.0 μB per formula unit. Number 5: uncorrected energy -5.043 eV per atom, total magnetization 0.0 μB per formula unit. Number 6: uncorrected energy -6.078 eV per atom, total magnetization 0.0 μB per formula unit. Number 7: uncorrected energy -4.260 eV per atom, total magnetization 0.0 μB per formula unit. Number 8: uncorrected energy -5.234 eV per atom, total magnetization 0.0 μB per formula unit.